# 1
Mg2Al2In: relaxed, GGA-PBE.

a = 8.3521 Å, b = 8.3521 Å, c = 3.0669 Å
α = 90.00°, β = 90.00°, γ = 90.00°
Atoms (fractional coordinates):
Mg 0.1819 0.6819 0.5000
Mg 0.6819 0.8181 0.5000
Mg 0.8181 0.3181 0.5000
Mg 0.3181 0.1819 0.5000
Al 0.3859 0.8859 0.0000
Al 0.8859 0.6141 0.0000
Al 0.6141 0.1141 0.0000
Al 0.1141 0.3859 0.0000
In 0.0000 0.0000 0.0000
In 0.5000 0.5000 0.0000

Summary:
Magnetization, μB/f.u.: 0.000
Energy relative to the lowest polymorph listed for this composition, meV per atom: 0
SG: No. 127
Total DFT energy (no corrections), eV per atom: -2.64

# 2
MgAl2In: relaxed, GGA-PBE.

a = 8.0006 Å, b = 8.0006 Å, c = 6.3416 Å
α = 50.89°, β = 50.89°, γ = 90.00°
Atoms (fractional coordinates):
Mg 0.5000 0.5000 0.0000
Mg 0.2500 0.7500 0.5000
Al 0.6370 0.1250 0.2500
Al 0.1130 0.6250 0.2500
Al 0.3750 0.3630 0.7500
Al 0.8750 0.8870 0.7500
In 0.0000 0.0000 0.0000
In 0.7500 0.2500 0.5000

Summary:
Magnetization, μB/f.u.: 0.000
SG: No. 122
Total DFT energy (no corrections), eV per atom: -2.66

# 3
Mg15Al2In2: relaxed, GGA-PBE.

a = 7.8306 Å, b = 7.8306 Å, c = 7.8306 Å
α = 79.82°, β = 79.82°, γ = 79.82°
Atoms (fractional coordinates):
Mg 0.0000 0.5000 0.0000
Mg 0.0000 0.0000 0.5000
Mg 0.5000 0.0000 0.0000
Mg 0.3270 0.0000 0.6730
Mg 0.6730 0.3270 0.0000
Mg 0.0000 0.6730 0.3270
Mg 0.3270 0.6730 0.0000
Mg 0.0000 0.3270 0.6730
Mg 0.6730 0.0000 0.3270
Mg 0.3336 0.8371 0.3336
Mg 0.3336 0.3336 0.8371
Mg 0.8371 0.3336 0.3336
Mg 0.6664 0.1629 0.6664
Mg 0.6664 0.6664 0.1629
Mg 0.1629 0.6664 0.6664
Al 0.9138 0.9138 0.9138
Al 0.0862 0.0862 0.0862
In 0.7107 0.7107 0.7107
In 0.2893 0.2893 0.2893

Summary:
Magnetization, μB/f.u.: 0.000
SG: No. 166
Total DFT energy (no corrections), eV per atom: -1.83

# 4
MgAl2In: relaxed, GGA-PBE.

a = 4.8842 Å, b = 4.8842 Å, c = 4.8817 Å
α = 59.98°, β = 59.98°, γ = 60.00°
Atoms (fractional coordinates):
Mg 0.7500 0.7500 0.7500
Al 0.0001 0.0001 0.9997
Al 0.2500 0.2500 0.2500
In 0.4999 0.4999 0.5002

Summary:
Magnetization, μB/f.u.: 0.000
SG: No. 216
Total DFT energy (no corrections), eV per atom: -2.81

# 5
MgAl2In: relaxed, GGA-PBE.

a = 5.6341 Å, b = 5.6341 Å, c = 5.6341 Å
α = 143.21°, β = 127.72°, γ = 65.63°
Atoms (fractional coordinates):
Al 0.9887 0.9887 0.0000
Al 0.7623 0.2623 0.5000
In 0.5081 0.5081 0.0000
Mg 0.2408 0.7408 0.5000

Summary:
Magnetization, μB/f.u.: 0.000
SG: No. 44
Total DFT energy (no corrections), eV per atom: -2.84

# 6
Mg3AlIn: relaxed, GGA-PBE.

a = 4.4252 Å, b = 5.7367 Å, c = 9.9402 Å
α = 90.00°, β = 90.00°, γ = 90.00°
Atoms (fractional coordinates):
Mg 0.5000 0.0000 0.0000
Mg 0.5000 0.5000 0.0000
Mg 0.0000 0.7500 0.2053
Mg 0.0000 0.2500 0.7947
Mg 0.5000 0.2500 0.2860
Mg 0.5000 0.7500 0.7140
Al 0.0000 0.2500 0.0960
Al 0.0000 0.7500 0.9040
In 0.5000 0.7500 0.4158
In 0.5000 0.2500 0.5842

Summary:
Magnetization, μB/f.u.: 0.000
Energy relative to the lowest polymorph listed for this composition, meV per atom: 136
SG: No. 51
Total DFT energy (no corrections), eV per atom: -2.15

# 7
Mg8Al3In3: relaxed, GGA-PBE.

a = 5.0176 Å, b = 8.4748 Å, c = 8.4748 Å
α = 75.97°, β = 72.78°, γ = 72.78°
Atoms (fractional coordinates):
Mg 0.6428 0.0657 0.6487
Mg 0.3572 0.9343 0.3513
Mg 0.6428 0.6487 0.0657
Mg 0.3572 0.3513 0.9343
Mg 0.8767 0.7602 0.4865
Mg 0.1233 0.2398 0.5135
Mg 0.8767 0.4865 0.7602
Mg 0.1233 0.5135 0.2398
Al 0.5000 0.0000 0.0000
Al 0.0000 0.8731 0.1269
Al 0.0000 0.1269 0.8731
In 0.5000 0.5000 0.5000
In 0.7705 0.2294 0.2294
In 0.2295 0.7706 0.7706

Summary:
Magnetization, μB/f.u.: 0.000
SG: No. 71
Total DFT energy (no corrections), eV per atom: -2.20

# 8
Mg16Al12In: relaxed, GGA-PBE.

a = 9.1310 Å, b = 9.1310 Å, c = 9.0927 Å
α = 70.72°, β = 70.72°, γ = 109.38°
Atoms (fractional coordinates):
Mg 0.9991 0.9991 0.3452
Mg 0.3429 0.3429 0.6623
Mg 0.3137 0.3137 0.2873
Mg 0.0002 0.0002 0.0003
Mg 0.3965 0.6805 0.0016
Mg 0.2862 0.5991 0.4002
Mg 0.6859 0.0040 0.6004
Mg 0.6550 0.0018 0.9961
Mg 0.3189 0.7131 0.6830
Mg 0.9992 0.4008 0.3166
Mg 0.4008 0.9992 0.3166
Mg 0.7131 0.3189 0.6830
Mg 0.0018 0.6550 0.9961
Mg 0.0040 0.6859 0.6004
Mg 0.5991 0.2862 0.4002
Mg 0.6805 0.3965 0.0016
Al 0.6325 0.6325 0.1784
Al 0.8211 0.8211 0.8175
Al 0.1788 0.3611 0.0064
Al 0.0008 0.1868 0.6332
Al 0.6342 0.8217 0.3589
Al 0.8112 0.1801 0.1880
Al 0.9982 0.3671 0.8166
Al 0.3671 0.9982 0.8166
Al 0.1801 0.8112 0.1880
Al 0.8217 0.6342 0.3589
Al 0.1868 0.0008 0.6332
Al 0.3611 0.1788 0.0064
In 0.6100 0.6100 0.7070

Summary:
Magnetization, μB/f.u.: 0.000
Energy relative to the lowest polymorph listed for this composition, meV per atom: 0
SG: No. 8
Total DFT energy (no corrections), eV per atom: -2.55